1.
# K2Er2P3O12 (PBE-GGA, relaxed)
data_K2Er2P3O12
_cell_length_a 10.668
_cell_length_b 10.668
_cell_length_c 10.668
_cell_angle_alpha 90.00
_cell_angle_beta 90.00
_cell_angle_gamma 90.00
_space_group_name_H-M_alt 'P 1'
_space_group_IT_number 1
loop_
_space_group_symop_operation_xyz
'x,y,z'
loop_
_atom_site_label
_atom_site_type_symbol
_atom_site_fract_x
_atom_site_fract_y
_atom_site_fract_z
_atom_site_occupancy
K1 K 0.056 0.056 0.056 1
K2 K 0.182 0.318 0.682 1
K3 K 0.318 0.682 0.182 1
K4 K 0.444 0.944 0.556 1
K5 K 0.556 0.444 0.944 1
K6 K 0.682 0.182 0.318 1
K7 K 0.818 0.818 0.818 1
K8 K 0.944 0.556 0.444 1
Er1 Er 0.102 0.898 0.398 1
Er2 Er 0.166 0.666 0.834 1
Er3 Er 0.334 0.334 0.334 1
Er4 Er 0.398 0.102 0.898 1
Er5 Er 0.602 0.602 0.602 1
Er6 Er 0.666 0.834 0.166 1
Er7 Er 0.834 0.166 0.666 1
Er8 Er 0.898 0.398 0.102 1
P1 P 0.017 0.217 0.375 1
P2 P 0.125 0.983 0.717 1
P3 P 0.217 0.375 0.017 1
P4 P 0.283 0.625 0.517 1
P5 P 0.375 0.017 0.217 1
P6 P 0.483 0.783 0.875 1
P7 P 0.517 0.283 0.625 1
P8 P 0.625 0.517 0.283 1
P9 P 0.717 0.125 0.983 1
P10 P 0.783 0.875 0.483 1
P11 P 0.875 0.483 0.783 1
P12 P 0.983 0.717 0.125 1
O1 O 0.006 0.065 0.723 1
O2 O 0.024 0.081 0.326 1
O3 O 0.047 0.802 0.224 1
O4 O 0.065 0.723 0.006 1
O5 O 0.081 0.326 0.024 1
O6 O 0.095 0.850 0.766 1
O7 O 0.150 0.266 0.405 1
O8 O 0.174 0.976 0.581 1
O9 O 0.198 0.724 0.453 1
O10 O 0.223 0.494 0.935 1
O11 O 0.224 0.047 0.802 1
O12 O 0.234 0.595 0.650 1
O13 O 0.266 0.405 0.150 1
O14 O 0.276 0.953 0.302 1
O15 O 0.277 0.506 0.435 1
O16 O 0.302 0.276 0.953 1
O17 O 0.326 0.024 0.081 1
O18 O 0.350 0.734 0.905 1
O19 O 0.405 0.150 0.266 1
O20 O 0.419 0.674 0.524 1
O21 O 0.435 0.277 0.506 1
O22 O 0.453 0.198 0.724 1
O23 O 0.476 0.919 0.826 1
O24 O 0.494 0.935 0.223 1
O25 O 0.506 0.435 0.277 1
O26 O 0.524 0.419 0.674 1
O27 O 0.547 0.698 0.776 1
O28 O 0.565 0.777 0.994 1
O29 O 0.581 0.174 0.976 1
O30 O 0.595 0.650 0.234 1
O31 O 0.650 0.234 0.595 1
O32 O 0.674 0.524 0.419 1
O33 O 0.698 0.776 0.547 1
O34 O 0.723 0.006 0.065 1
O35 O 0.724 0.453 0.198 1
O36 O 0.734 0.905 0.350 1
O37 O 0.766 0.095 0.850 1
O38 O 0.776 0.547 0.698 1
O39 O 0.777 0.994 0.565 1
O40 O 0.802 0.224 0.047 1
O41 O 0.826 0.476 0.919 1
O42 O 0.850 0.766 0.095 1
O43 O 0.905 0.350 0.734 1
O44 O 0.919 0.826 0.476 1
O45 O 0.935 0.223 0.494 1
O46 O 0.953 0.302 0.276 1
O47 O 0.976 0.581 0.174 1
O48 O 0.994 0.565 0.777 1
# Raw formation energy ... -2.673 eV/atom
# Density of states at the Fermi level ... 0.712 states/eV/atom
# SG ... No. 198
# ρ ... 3.8 Mg/m³

2.
# KErPO4 (PBE-GGA, relaxed)
data_KErPO4
_cell_length_a 6.015
_cell_length_b 6.015
_cell_length_c 6.015
_cell_angle_alpha 60.00
_cell_angle_beta 60.00
_cell_angle_gamma 60.00
_space_group_name_H-M_alt 'P 1'
_space_group_IT_number 1
loop_
_space_group_symop_operation_xyz
'x,y,z'
loop_
_atom_site_label
_atom_site_type_symbol
_atom_site_fract_x
_atom_site_fract_y
_atom_site_fract_z
_atom_site_occupancy
K1 K 0.000 0.000 0.000 1
Er1 Er 0.750 0.750 0.750 1
P1 P 0.500 0.500 0.500 1
O1 O 0.183 0.606 0.606 1
O2 O 0.606 0.183 0.606 1
O3 O 0.606 0.606 0.183 1
O4 O 0.606 0.606 0.606 1
# Raw formation energy ... -2.328 eV/atom
# Density of states at the Fermi level ... 0.143 states/eV/atom
# SG ... No. 216
# ρ ... 3.3 Mg/m³

3.
# K3ErP2O8 (PBE-GGA, relaxed)
data_K3ErP2O8
_cell_length_a 5.673
_cell_length_b 5.673
_cell_length_c 7.776
_cell_angle_alpha 90.00
_cell_angle_beta 90.00
_cell_angle_gamma 120.00
_space_group_name_H-M_alt 'P 1'
_space_group_IT_number 1
loop_
_space_group_symop_operation_xyz
'x,y,z'
loop_
_atom_site_label
_atom_site_type_symbol
_atom_site_fract_x
_atom_site_fract_y
_atom_site_fract_z
_atom_site_occupancy
K1 K 0.000 0.000 0.000 1
K2 K 0.333 0.667 0.734 1
K3 K 0.667 0.333 0.266 1
Er1 Er 0.000 0.000 0.500 1
P1 P 0.333 0.667 0.261 1
P2 P 0.667 0.333 0.739 1
O1 O 0.184 0.368 0.333 1
O2 O 0.184 0.816 0.333 1
O3 O 0.333 0.667 0.065 1
O4 O 0.368 0.184 0.667 1
O5 O 0.632 0.816 0.333 1
O6 O 0.667 0.333 0.935 1
O7 O 0.816 0.184 0.667 1
O8 O 0.816 0.632 0.667 1
# Raw formation energy ... -2.593 eV/atom
# Density of states at the Fermi level ... 0.000 states/eV/atom
# SG ... No. 164
# ρ ... 3.6 Mg/m³

4.
# KErP2O7 (PBE-GGA, relaxed)
data_KErP2O7
_cell_length_a 7.740
_cell_length_b 10.989
_cell_length_c 8.714
_cell_angle_alpha 90.00
_cell_angle_beta 107.44
_cell_angle_gamma 90.00
_space_group_name_H-M_alt 'P 1'
_space_group_IT_number 1
loop_
_space_group_symop_operation_xyz
'x,y,z'
loop_
_atom_site_label
_atom_site_type_symbol
_atom_site_fract_x
_atom_site_fract_y
_atom_site_fract_z
_atom_site_occupancy
K1 K 0.175 0.178 0.074 1
K2 K 0.175 0.322 0.574 1
K3 K 0.825 0.678 0.426 1
K4 K 0.825 0.822 0.926 1
Er1 Er 0.234 0.598 0.252 1
Er2 Er 0.234 0.902 0.752 1
Er3 Er 0.766 0.098 0.248 1
Er4 Er 0.766 0.402 0.748 1
P1 P 0.128 0.601 0.813 1
P2 P 0.128 0.899 0.313 1
P3 P 0.440 0.639 0.692 1
P4 P 0.440 0.861 0.192 1
P5 P 0.560 0.139 0.808 1
P6 P 0.560 0.361 0.308 1
P7 P 0.872 0.101 0.687 1
P8 P 0.872 0.399 0.187 1
O1 O 0.007 0.000 0.214 1
O2 O 0.007 0.500 0.714 1
O3 O 0.071 0.727 0.738 1
O4 O 0.071 0.773 0.238 1
O5 O 0.139 0.596 0.989 1
O6 O 0.139 0.904 0.489 1
O7 O 0.331 0.571 0.803 1
O8 O 0.331 0.929 0.303 1
O9 O 0.332 0.614 0.518 1
O10 O 0.332 0.886 0.018 1
O11 O 0.374 0.078 0.759 1
O12 O 0.374 0.422 0.259 1
O13 O 0.456 0.726 0.239 1
O14 O 0.456 0.774 0.739 1
O15 O 0.544 0.226 0.261 1
O16 O 0.544 0.274 0.761 1
O17 O 0.626 0.578 0.741 1
O18 O 0.626 0.922 0.241 1
O19 O 0.668 0.114 0.982 1
O20 O 0.668 0.386 0.482 1
O21 O 0.669 0.071 0.697 1
O22 O 0.669 0.429 0.197 1
O23 O 0.861 0.096 0.511 1
O24 O 0.861 0.404 0.011 1
O25 O 0.929 0.227 0.762 1
O26 O 0.929 0.273 0.262 1
O27 O 0.993 0.000 0.786 1
O28 O 0.993 0.500 0.286 1
# Raw formation energy ... -2.708 eV/atom
# Density of states at the Fermi level ... 0.000 states/eV/atom
# SG ... No. 14
# ρ ... 3.6 Mg/m³

5.
# K2ErPa3O12 (PBE-GGA, relaxed)
data_K2ErPa3O12
_cell_length_a 8.019
_cell_length_b 8.019
_cell_length_c 8.019
_cell_angle_alpha 61.85
_cell_angle_beta 61.85
_cell_angle_gamma 61.85
_space_group_name_H-M_alt 'P 1'
_space_group_IT_number 1
loop_
_space_group_symop_operation_xyz
'x,y,z'
loop_
_atom_site_label
_atom_site_type_symbol
_atom_site_fract_x
_atom_site_fract_y
_atom_site_fract_z
_atom_site_occupancy
K1 K 0.179 0.179 0.179 1
K2 K 0.821 0.821 0.821 1
Er1 Er 0.500 0.500 0.500 1
Pa1 Pa 0.000 0.500 0.500 1
Pa2 Pa 0.500 0.000 0.500 1
Pa3 Pa 0.500 0.500 0.000 1
O1 O 0.175 0.566 0.566 1
O2 O 0.190 0.190 0.543 1
O3 O 0.190 0.543 0.190 1
O4 O 0.434 0.434 0.825 1
O5 O 0.434 0.825 0.434 1
O6 O 0.457 0.810 0.810 1
O7 O 0.543 0.190 0.190 1
O8 O 0.566 0.175 0.566 1
O9 O 0.566 0.566 0.175 1
O10 O 0.810 0.457 0.810 1
O11 O 0.810 0.810 0.457 1
O12 O 0.825 0.434 0.434 1
# Raw formation energy ... -2.690 eV/atom
# Density of states at the Fermi level ... 0.886 states/eV/atom
# SG ... No. 166
# ρ ... 4.9 Mg/m³

6.
# K4ErPa3O12 (PBE-GGA, relaxed)
data_K4ErPa3O12
_cell_length_a 7.582
_cell_length_b 7.582
_cell_length_c 7.582
_cell_angle_alpha 109.47
_cell_angle_beta 109.47
_cell_angle_gamma 109.47
_space_group_name_H-M_alt 'P 1'
_space_group_IT_number 1
loop_
_space_group_symop_operation_xyz
'x,y,z'
loop_
_atom_site_label
_atom_site_type_symbol
_atom_site_fract_x
_atom_site_fract_y
_atom_site_fract_z
_atom_site_occupancy
K1 K 0.000 0.000 0.500 1
K2 K 0.000 0.500 0.000 1
K3 K 0.500 0.000 0.000 1
K4 K 0.500 0.500 0.500 1
Er1 Er 0.000 0.000 0.000 1
Pa1 Pa 0.000 0.500 0.500 1
Pa2 Pa 0.500 0.000 0.500 1
Pa3 Pa 0.500 0.500 0.000 1
O1 O 0.000 0.259 0.259 1
O2 O 0.000 0.741 0.741 1
O3 O 0.250 0.500 0.750 1
O4 O 0.250 0.750 0.500 1
O5 O 0.259 0.000 0.259 1
O6 O 0.259 0.259 0.000 1
O7 O 0.500 0.250 0.750 1
O8 O 0.500 0.750 0.250 1
O9 O 0.741 0.000 0.741 1
O10 O 0.741 0.741 0.000 1
O11 O 0.750 0.250 0.500 1
O12 O 0.750 0.500 0.250 1
# Raw formation energy ... -2.860 eV/atom
# Density of states at the Fermi level ... 1.026 states/eV/atom
# SG ... No. 229
# ρ ... 6.0 Mg/m³